(1)
Compound: Pm2Nd12Dy5
Source: Alexandria
Functional: PBE
Structure: relaxed

ΔH_f (0 K) = 0.10 eV/atom
distance to the lowest polymorph of the same formula = 0 meV per atom
total magnetic moment = 0.000 μB per cell
symmetry = C2/m

Unit cell a=11.785 b=10.792 c=6.264 alpha=100.53 beta=90.00 gamma=123.09
Fractional coordinates of all 19 atoms:
Pm 0.773 0.000 0.000
Pm 0.227 0.000 0.000
Nd 0.122 0.244 0.998
Nd 0.060 0.604 0.800
Nd 0.543 0.604 0.800
Nd 0.146 0.792 0.385
Nd 0.646 0.792 0.385
Nd 0.444 0.888 0.726
Nd 0.556 0.112 0.274
Nd 0.854 0.208 0.615
Nd 0.354 0.208 0.615
Nd 0.940 0.396 0.200
Nd 0.457 0.396 0.200
Nd 0.878 0.756 0.002
Dy 0.214 0.429 0.550
Dy 0.322 0.645 0.142
Dy 0.000 0.000 0.500
Dy 0.678 0.355 0.858
Dy 0.786 0.571 0.450

(2)
Compound: PmNd5Dy2
Source: Alexandria
Functional: PBE
Structure: relaxed

ΔH_f (0 K) = 0.03 eV/atom
distance to the lowest polymorph of the same formula = 16 meV per atom
total magnetic moment = 0.000 μB per cell
symmetry = P-1

Unit cell a=6.943 b=14.032 c=9.424 alpha=74.89 beta=108.78 gamma=140.53
Fractional coordinates of all 16 atoms:
Pm 0.158 0.705 0.710
Pm 0.842 0.295 0.290
Nd 0.330 0.916 0.166
Nd 0.165 0.957 0.460
Nd 0.328 0.664 0.417
Nd 0.659 0.829 0.086
Nd 0.173 0.211 0.207
Nd 0.827 0.789 0.793
Nd 0.672 0.336 0.583
Nd 0.341 0.171 0.914
Nd 0.670 0.084 0.834
Nd 0.835 0.043 0.540
Dy 0.665 0.583 0.333
Dy 0.829 0.540 0.041
Dy 0.335 0.417 0.667
Dy 0.171 0.460 0.959

(3)
Compound: Pm3Nd2Dy6
Source: Alexandria
Functional: PBE
Structure: relaxed

ΔH_f (0 K) = 0.26 eV/atom
distance to the lowest polymorph of the same formula = 74 meV per atom
total magnetic moment = 0.000 μB per cell
symmetry = I4/mmm

Unit cell a=4.779 b=4.779 c=17.016 alpha=98.07 beta=98.07 gamma=90.00
Fractional coordinates of all 11 atoms:
Pm 0.000 0.000 0.000
Pm 0.797 0.797 0.594
Pm 0.203 0.203 0.406
Nd 0.454 0.454 0.908
Nd 0.546 0.546 0.092
Dy 0.121 0.621 0.242
Dy 0.621 0.121 0.242
Dy 0.879 0.379 0.758
Dy 0.379 0.879 0.758
Dy 0.694 0.694 0.388
Dy 0.306 0.306 0.612

(4)
Compound: Pm5Nd5Dy2
Source: Alexandria
Functional: PBE
Structure: relaxed

ΔH_f (0 K) = 0.09 eV/atom
distance to the lowest polymorph of the same formula = 71 meV per atom
total magnetic moment = 0.000 μB per cell
symmetry = C2/m

Unit cell a=5.818 b=6.643 c=12.495 alpha=106.68 beta=90.00 gamma=115.97
Fractional coordinates of all 12 atoms:
Pm 0.500 0.000 0.500
Pm 0.690 0.380 0.031
Pm 0.573 0.147 0.245
Pm 0.427 0.853 0.755
Pm 0.310 0.620 0.969
Nd 0.188 0.375 0.469
Nd 0.740 0.481 0.775
Nd 0.260 0.519 0.225
Nd 0.812 0.625 0.531
Nd 0.000 0.000 0.000
Dy 0.084 0.168 0.708
Dy 0.916 0.832 0.292

(5)
Compound: PmNd9Dy2
Source: Alexandria
Functional: PBE
Structure: relaxed

ΔH_f (0 K) = 0.02 eV/atom
total magnetic moment = 0.000 μB per cell
symmetry = P4/mmm

Unit cell a=5.167 b=5.167 c=15.504 alpha=90.00 beta=90.00 gamma=90.00
Fractional coordinates of all 12 atoms:
Pm 0.000 0.000 0.000
Nd 0.500 0.500 0.000
Nd 0.500 0.500 0.335
Nd 0.500 0.500 0.665
Nd 0.500 0.000 0.168
Nd 0.500 0.000 0.500
Nd 0.500 0.000 0.832
Nd 0.000 0.500 0.168
Nd 0.000 0.500 0.500
Nd 0.000 0.500 0.832
Dy 0.000 0.000 0.334
Dy 0.000 0.000 0.666

(6)
Compound: Pm3Nd2Dy2
Source: Alexandria
Functional: PBE
Structure: relaxed

ΔH_f (0 K) = 0.10 eV/atom
distance to the lowest polymorph of the same formula = 85 meV per atom
total magnetic moment = 0.000 μB per cell
symmetry = C2/m

Unit cell a=3.539 b=8.756 c=9.006 alpha=118.39 beta=101.33 gamma=90.00
Fractional coordinates of all 7 atoms:
Pm 0.000 0.500 0.000
Pm 0.213 0.805 0.426
Pm 0.787 0.195 0.574
Nd 0.855 0.677 0.710
Nd 0.145 0.323 0.290
Dy 0.564 0.906 0.129
Dy 0.436 0.094 0.871

(7)
Compound: Pm3Nd8Dy
Source: Alexandria
Functional: PBE
Structure: relaxed

ΔH_f (0 K) = 0.30 eV/atom
total magnetic moment = 0.001 μB per cell
symmetry = Immm

Unit cell a=8.830 b=8.830 c=8.830 alpha=96.91 beta=135.56 gamma=99.54
Fractional coordinates of all 12 atoms:
Pm 0.500 0.756 0.256
Pm 0.500 0.244 0.744
Pm 0.000 0.500 0.500
Nd 0.499 0.242 0.257
Nd 0.501 0.758 0.743
Nd 0.015 0.758 0.257
Nd 0.985 0.242 0.743
Nd 0.164 0.413 0.249
Nd 0.836 0.085 0.249
Nd 0.836 0.587 0.751
Nd 0.164 0.915 0.751
Dy 0.000 0.000 0.000

(8)
Compound: Pm5Nd2Dy
Source: Alexandria
Functional: PBE
Structure: relaxed

ΔH_f (0 K) = 0.15 eV/atom
distance to the lowest polymorph of the same formula = 133 meV per atom
total magnetic moment = 0.000 μB per cell
symmetry = C2/c

Unit cell a=10.169 b=6.668 c=10.872 alpha=117.95 beta=117.88 gamma=90.00
Fractional coordinates of all 16 atoms:
Pm 0.494 0.460 0.805
Pm 0.937 0.750 0.000
Pm 0.063 0.250 0.000
Pm 0.880 0.619 0.592
Pm 0.120 0.381 0.408
Pm 0.711 0.119 0.592
Pm 0.289 0.881 0.408
Pm 0.506 0.540 0.195
Pm 0.312 0.960 0.805
Pm 0.688 0.040 0.195
Nd 0.175 0.471 0.834
Nd 0.660 0.971 0.834
Nd 0.825 0.529 0.166
Nd 0.340 0.029 0.166
Dy 0.000 0.000 0.500
Dy 0.500 0.500 0.500

(9)
Compound: Pm2Nd3Dy7
Source: Alexandria
Functional: PBE
Structure: relaxed

ΔH_f (0 K) = 0.30 eV/atom
distance to the lowest polymorph of the same formula = 219 meV per atom
total magnetic moment = 0.000 μB per cell
symmetry = P2/m

Unit cell a=5.668 b=6.111 c=12.345 alpha=95.01 beta=90.00 gamma=90.00
Fractional coordinates of all 12 atoms:
Pm 0.500 0.637 0.291
Pm 0.500 0.363 0.709
Nd 0.500 0.500 0.000
Nd 0.000 0.968 0.324
Nd 0.000 0.032 0.676
Dy 0.500 0.226 0.440
Dy 0.500 0.774 0.560
Dy 0.000 0.452 0.174
Dy 0.000 0.000 0.000
Dy 0.000 0.548 0.826
Dy 0.500 0.908 0.840
Dy 0.500 0.092 0.160

(10)
Compound: Pm2NdDy8
Source: Alexandria
Functional: PBE
Structure: relaxed

ΔH_f (0 K) = 0.16 eV/atom
distance to the lowest polymorph of the same formula = 43 meV per atom
total magnetic moment = 0.000 μB per cell
symmetry = C2/m

Unit cell a=5.573 b=10.144 c=10.144 alpha=40.50 beta=92.70 gamma=92.70
Fractional coordinates of all 11 atoms:
Pm 0.748 0.284 0.284
Pm 0.252 0.716 0.716
Nd 0.000 0.000 0.000
Dy 0.267 0.136 0.602
Dy 0.267 0.602 0.136
Dy 0.733 0.864 0.398
Dy 0.238 0.546 0.546
Dy 0.733 0.398 0.864
Dy 0.233 0.187 0.187
Dy 0.767 0.813 0.813
Dy 0.762 0.454 0.454

(11)
Compound: Pm3NdDy6
Source: Alexandria
Functional: PBE
Structure: relaxed

ΔH_f (0 K) = 0.15 eV/atom
distance to the lowest polymorph of the same formula = 0 meV per atom
total magnetic moment = 0.000 μB per cell
symmetry = Cmc2_1

Unit cell a=6.319 b=10.991 c=10.991 alpha=119.64 beta=90.00 gamma=90.00
Fractional coordinates of all 20 atoms:
Pm 0.462 0.937 0.712
Pm 0.962 0.712 0.937
Pm 0.070 0.389 0.611
Pm 0.570 0.611 0.389
Pm 0.962 0.063 0.288
Pm 0.462 0.288 0.063
Nd 0.133 0.198 0.802
Nd 0.633 0.802 0.198
Dy 0.043 0.712 0.620
Dy 0.543 0.620 0.712
Dy 0.372 0.533 0.952
Dy 0.872 0.952 0.533
Dy 0.383 0.959 0.041
Dy 0.646 0.276 0.724
Dy 0.146 0.724 0.276
Dy 0.883 0.041 0.959
Dy 0.372 0.048 0.467
Dy 0.872 0.467 0.048
Dy 0.043 0.380 0.288
Dy 0.543 0.288 0.380

(12)
Compound: Pm6Nd4Dy
Source: Alexandria
Functional: PBE
Structure: relaxed

ΔH_f (0 K) = 0.37 eV/atom
distance to the lowest polymorph of the same formula = 95 meV per atom
total magnetic moment = 0.000 μB per cell
symmetry = I-42m

Unit cell a=7.641 b=7.641 c=8.706 alpha=116.03 beta=116.03 gamma=90.00
Fractional coordinates of all 11 atoms:
Pm 0.912 0.462 0.374
Pm 0.462 0.912 0.374
Pm 0.538 0.538 0.626
Pm 0.000 0.500 0.000
Pm 0.088 0.088 0.626
Pm 0.500 0.000 0.000
Nd 0.093 0.747 0.839
Nd 0.907 0.907 0.161
Nd 0.747 0.093 0.839
Nd 0.253 0.253 0.161
Dy 0.500 0.500 0.000

(13)
Compound: Pm3NdDy5
Source: Alexandria
Functional: PBE
Structure: relaxed

ΔH_f (0 K) = 0.25 eV/atom
distance to the lowest polymorph of the same formula = 0 meV per atom
total magnetic moment = 0.000 μB per cell
symmetry = I4/mcm

Unit cell a=8.710 b=8.710 c=9.954 alpha=115.94 beta=115.94 gamma=90.00
Fractional coordinates of all 18 atoms:
Pm 0.618 0.118 0.000
Pm 0.382 0.882 0.000
Pm 0.882 0.618 0.000
Pm 0.118 0.382 0.000
Pm 0.250 0.250 0.500
Pm 0.750 0.750 0.500
Nd 0.750 0.250 0.500
Nd 0.250 0.750 0.500
Dy 0.071 0.571 0.726
Dy 0.655 0.155 0.726
Dy 0.155 0.071 0.726
Dy 0.571 0.655 0.726
Dy 0.929 0.429 0.274
Dy 0.345 0.845 0.274
Dy 0.845 0.929 0.274
Dy 0.429 0.345 0.274
Dy 0.500 0.500 0.000
Dy 0.000 0.000 0.000

(14)
Compound: PmNd12Dy6
Source: Alexandria
Functional: PBE
Structure: relaxed

ΔH_f (0 K) = 0.39 eV/atom
distance to the lowest polymorph of the same formula = 200 meV per atom
total magnetic moment = 0.000 μB per cell
symmetry = R-3m

Unit cell a=8.990 b=8.990 c=8.990 alpha=98.83 beta=98.83 gamma=98.83
Fractional coordinates of all 19 atoms:
Pm 0.000 0.000 0.000
Nd 0.884 0.116 0.500
Nd 0.819 0.535 0.535
Nd 0.535 0.535 0.819
Nd 0.465 0.181 0.465
Nd 0.465 0.465 0.181
Nd 0.181 0.465 0.465
Nd 0.116 0.500 0.884
Nd 0.500 0.884 0.116
Nd 0.116 0.884 0.500
Nd 0.884 0.500 0.116
Nd 0.500 0.116 0.884
Nd 0.535 0.819 0.535
Dy 0.747 0.204 0.204
Dy 0.204 0.204 0.747
Dy 0.204 0.747 0.204
Dy 0.796 0.796 0.253
Dy 0.253 0.796 0.796
Dy 0.796 0.253 0.796

(15)
Compound: Pm2NdDy6
Source: Alexandria
Functional: PBE
Structure: relaxed

ΔH_f (0 K) = 0.10 eV/atom
distance to the lowest polymorph of the same formula = 0 meV per atom
total magnetic moment = 0.000 μB per cell
symmetry = C2/m

Unit cell a=3.499 b=9.818 c=9.818 alpha=63.57 beta=79.79 gamma=79.79
Fractional coordinates of all 9 atoms:
Pm 0.843 0.658 0.658
Pm 0.157 0.342 0.342
Nd 0.000 0.000 0.000
Dy 0.821 0.345 0.011
Dy 0.179 0.989 0.655
Dy 0.179 0.655 0.989
Dy 0.500 0.315 0.685
Dy 0.821 0.011 0.345
Dy 0.500 0.685 0.315

(16)
Compound: Pm2NdDy6
Source: Alexandria
Functional: PBE
Structure: relaxed

ΔH_f (0 K) = 0.33 eV/atom
distance to the lowest polymorph of the same formula = 228 meV per atom
total magnetic moment = 0.000 μB per cell
symmetry = R3m

Unit cell a=7.431 b=7.431 c=7.663 alpha=61.00 beta=61.00 gamma=60.00
Fractional coordinates of all 9 atoms:
Pm 0.755 0.755 0.736
Pm 0.580 0.580 0.261
Nd 0.316 0.316 0.053
Dy 0.784 0.259 0.697
Dy 0.260 0.784 0.697
Dy 0.259 0.260 0.697
Dy 0.048 0.616 0.287
Dy 0.048 0.048 0.287
Dy 0.616 0.048 0.287

(17)
Compound: PmNd6Dy
Source: Alexandria
Functional: PBE
Structure: relaxed

ΔH_f (0 K) = 0.02 eV/atom
total magnetic moment = 0.000 μB per cell
symmetry = Fmmm

Unit cell a=6.338 b=6.338 c=8.190 alpha=105.04 beta=105.04 gamma=109.21
Fractional coordinates of all 8 atoms:
Pm 0.500 0.500 0.000
Nd 0.624 0.124 0.248
Nd 0.876 0.376 0.752
Nd 0.250 0.250 0.499
Nd 0.124 0.624 0.248
Nd 0.376 0.876 0.752
Nd 0.750 0.750 0.501
Dy 0.000 0.000 0.000

(18)
Compound: PmNd2Dy
Source: Alexandria
Functional: PBE
Structure: relaxed

ΔH_f (0 K) = 0.11 eV/atom
distance to the lowest polymorph of the same formula = 97 meV per atom
total magnetic moment = 0.000 μB per cell
symmetry = P4/mmm

Unit cell a=4.270 b=4.270 c=7.490 alpha=90.00 beta=90.00 gamma=90.00
Fractional coordinates of all 4 atoms:
Pm 0.500 0.500 0.500
Nd 0.000 0.000 0.756
Nd 0.000 0.000 0.244
Dy 0.500 0.500 0.000

(19)
Compound: Pm3Nd7Dy
Source: Alexandria
Functional: PBE
Structure: relaxed

ΔH_f (0 K) = 0.23 eV/atom
total magnetic moment = 0.000 μB per cell
symmetry = C2/m

Unit cell a=6.529 b=7.840 c=7.840 alpha=82.09 beta=86.22 gamma=86.22
Fractional coordinates of all 11 atoms:
Pm 0.000 0.829 0.171
Pm 0.500 0.000 0.000
Pm 0.000 0.171 0.829
Nd 0.786 0.239 0.239
Nd 0.739 0.918 0.572
Nd 0.261 0.428 0.082
Nd 0.739 0.572 0.918
Nd 0.000 0.500 0.500
Nd 0.261 0.082 0.428
Nd 0.214 0.761 0.761
Dy 0.500 0.500 0.500

(20)
Compound: Pm3NdDy8
Source: Alexandria
Functional: PBE
Structure: relaxed

ΔH_f (0 K) = 0.30 eV/atom
total magnetic moment = 0.000 μB per cell
symmetry = Immm

Unit cell a=8.698 b=8.698 c=8.698 alpha=97.46 beta=136.48 gamma=98.34
Fractional coordinates of all 12 atoms:
Pm 0.500 0.749 0.249
Pm 0.500 0.251 0.751
Pm 0.000 0.500 0.500
Nd 0.000 0.000 0.000
Dy 0.501 0.251 0.249
Dy 0.499 0.749 0.751
Dy 0.998 0.749 0.249
Dy 0.002 0.251 0.751
Dy 0.170 0.420 0.250
Dy 0.830 0.080 0.250
Dy 0.830 0.580 0.750
Dy 0.170 0.920 0.750